Computed, not measured: a relaxed structure of ZrAs2W at the PBE-GGA level of DFT.

a = 3.4632 Å, b = 3.4632 Å, c = 5.9815 Å
α = 90.00°, β = 90.00°, γ = 90.00°
With the nearest neighbours (Å) after each atom.
Sites, in units of the cell vectors:
As (0.0000, 0.0000, 0.9637)  4 Zr 2.69, 2 W 2.97-3.01
As (0.5000, 0.5000, 0.2927)  4 W 2.66, 1 Zr 2.90
Zr (0.5000, 0.5000, 0.7772)  5 As 2.69-2.90
W (0.0000, 0.0000, 0.4665)  5 As 2.66-2.97

* symmetry: P4mm
* DFT formation energy: -0.360 eV per atom